The following is a DFT calculation (PBE-GGA) of RuRhAu2 after structural relaxation.

Cell: 4.1177 2.8070 6.2227 Å, 63.38 90.00 90.00°
Closest atoms and distances in Å follow each position.
Atoms (fractional coordinates):
Au (0.0000, 0.4989, 0.5009)  4 Au 2.77-2.81, 4 Ru 2.85, 4 Rh 2.85-2.86
Au (0.0000, 0.0011, 0.9991)  4 Au 2.77-2.81, 4 Ru 2.85, 4 Rh 2.85-2.86
Ru (0.5000, 0.7500, 0.7500)  2 Rh 2.78, 2 Ru 2.81, 8 Au 2.85
Rh (0.5000, 0.2500, 0.2500)  2 Ru 2.78, 2 Rh 2.81, 8 Au 2.85-2.86

Values from the calculation:
Crystal system: monoclinic
Space group: No. 10
Distance to the lowest polymorph of the same formula in eV/f.u.: 0.91
Total energy in eV per cell: -21.680
Spin magnetization in μB/f.u.: 1.75
E_form in eV/atom: 0.38